Record 1
Density functional theory data (PBE) for CaAcMg after structural relaxation.

## Properties
- SG = P3m1 (156)
- calculated formation energy (eV/f.u.) = 0.09
- excess energy over the best structure of this formula in the dataset (kJ per mole of atoms) = 7.5

a b c (Å): 3.754 5.841 5.841
angles (deg): 120.00 90.00 90.00
Fractional positions:
Mg: 0.501 0.667 0.333
Ac: 0.000 0.000 0.000
Ca: 0.499 0.333 0.667

---

Record 2
Density functional theory data (PBE) for CaAc2Mg after structural relaxation.

## Properties
- SG = Fm-3m (225)
- calculated formation energy (eV/f.u.) = 0.02
- excess energy over the best structure of this formula in the dataset (kJ per mole of atoms) = 2.3

a b c (Å): 6.013 6.013 6.013
angles (deg): 60.00 60.00 60.00
Fractional positions:
Mg: 0.500 0.500 0.500
Ac: 0.250 0.250 0.250
Ac: 0.750 0.750 0.750
Ca: 0.000 0.000 0.000

---

> What is the formula in the second record?

CaAc2Mg